Density functional theory data (PBE) for a relaxed structure of K2SiGeTe4.

POSCAR file:
```
K2SiGeTe4
1.0
6.997 0.000 0.000
0.000 9.400 0.000
0.000 0.000 10.190
K Si Ge Te
4 2 2 8
direct
0.446 0.341 0.249
0.446 0.341 0.751
0.946 0.659 0.749
0.946 0.659 0.251
0.509 0.857 0.500
0.009 0.143 0.000
0.982 0.172 0.500
0.482 0.828 0.000
0.372 0.102 0.000
0.872 0.898 0.500
0.366 0.108 0.500
0.866 0.892 0.000
0.439 0.721 0.710
0.939 0.279 0.210
0.939 0.279 0.790
0.439 0.721 0.290
```

Values from the calculation:
* space group: Pmn2_1, No. 31
* E_tot: -3.536 eV per atom
* energy relative to the elements, uncorrected: -0.435 eV/atom



Density functional theory data (PBE) for a relaxed structure of NaIn5Sn.

POSCAR file:
```
NaIn5Sn
1.0
-3.281 -3.241 1.305
2.207 -0.536 4.221
-4.887 6.297 3.356
Na In Sn
1 5 1
direct
0.000 0.000 0.000
0.500 0.000 0.735
0.000 0.500 0.735
0.500 0.500 0.000
0.000 0.500 0.265
0.500 0.000 0.265
0.000 0.000 0.500
```

Values from the calculation:
* ΔH_f (0 K): -0.011 eV per atom
* distance to the lowest polymorph of the same formula: 0 meV per atom
* space group: P4/mmm, No. 123
* E_tot: -2.727 eV per atom



Density functional theory data (PBE) for a relaxed structure of NaSi2Au.

POSCAR file:
```
NaSi2Au
1.0
0.000 3.282 3.282
3.282 0.000 3.282
3.282 3.282 0.000
Na Si Au
1 2 1
direct
0.000 0.000 0.000
0.250 0.250 0.250
0.750 0.750 0.750
0.500 0.500 0.500
```

Values from the calculation:
* space group: Fm-3m, No. 225
* E_tot: -3.558 eV per atom
* energy relative to the elements, uncorrected: 0.303 eV/atom



Density functional theory data (PBE) for a relaxed structure of AcNdGa.

POSCAR file:
```
AcNdGa
1.0
3.854 0.000 0.000
-1.927 3.338 0.000
0.000 0.000 15.734
Nd Ga Ac
2 2 2
direct
0.667 0.333 0.309
0.667 0.333 0.590
0.667 0.333 0.949
0.333 0.667 0.449
0.333 0.667 0.107
0.333 0.667 0.791
```

Values from the calculation:
* ΔH_f (0 K): -0.103 eV per atom
* distance to the lowest polymorph of the same formula: 243 meV per atom
* space group: P-6m2, No. 187
* E_tot: -4.071 eV per atom



Density functional theory data (PBE) for a relaxed structure of ScAs2Pt.

POSCAR file:
```
ScAs2Pt
1.0
-1.235 2.394 2.456
-2.427 -2.454 1.171
3.684 -1.883 3.689
As Pt Sc
2 1 1
direct
0.000 0.000 0.940
0.500 0.500 0.312
0.000 0.000 0.442
0.500 0.500 0.806
```

Values from the calculation:
* ΔH_f (0 K): -0.703 eV per atom
* distance to the lowest polymorph of the same formula: 0 meV per atom
* space group: P4mm, No. 99
* E_tot: -6.120 eV per atom



Density functional theory data (PBE) for a relaxed structure of Pr6Ho5Er2.

POSCAR file:
```
Pr6Ho5Er2
1.0
-1.998 -2.078 -2.206
9.063 -7.305 -1.328
-6.503 -11.026 16.275
Pr Ho Er
12 10 4
direct
0.000 0.085 0.368
0.000 0.915 0.632
0.000 0.585 0.132
0.000 0.415 0.868
0.500 0.328 0.136
0.500 0.672 0.864
0.500 0.828 0.364
0.500 0.172 0.636
0.000 0.561 0.419
0.000 0.439 0.581
0.000 0.061 0.081
0.000 0.939 0.919
0.500 0.303 0.444
0.500 0.697 0.556
0.500 0.803 0.056
0.500 0.197 0.944
0.500 0.593 0.273
0.500 0.407 0.727
0.500 0.093 0.227
0.500 0.907 0.773
0.500 0.500 0.000
0.500 0.000 0.500
0.000 0.335 0.291
0.000 0.665 0.709
0.000 0.835 0.209
0.000 0.165 0.791
```

Values from the calculation:
* ΔH_f (0 K): 0.106 eV per atom
* space group: Pbam, No. 55
* E_tot: -4.563 eV per atom



Density functional theory data (PBE) for a relaxed structure of TaSnAsBr2.

POSCAR file:
```
TaSnAsBr2
1.0
-4.252 1.975 -2.044
-0.438 -4.089 -3.041
-2.840 -2.380 3.608
As Sn Br Ta
1 1 2 1
direct
0.000 0.000 0.500
0.500 0.500 0.500
0.000 0.500 0.000
0.500 0.000 0.000
0.000 0.000 0.000
```

Values from the calculation:
* distance to the lowest polymorph of the same formula: 0 meV per atom
* space group: P4/mmm, No. 123
* E_tot: -4.608 eV per atom
* energy relative to the elements, uncorrected: 0.162 eV/atom



Density functional theory data (PBE) for a relaxed structure of Dy4TmAg5.

POSCAR file:
```
Dy4TmAg5
1.0
-2.526 2.328 1.060
-0.396 -1.827 3.070
12.958 10.462 7.896
Dy Tm Ag
4 1 5
direct
0.000 0.000 0.198
0.000 0.000 0.400
0.000 0.000 0.600
0.000 0.000 0.802
0.000 0.000 0.000
0.500 0.500 0.097
0.500 0.500 0.299
0.500 0.500 0.500
0.500 0.500 0.701
0.500 0.500 0.903
```

Values from the calculation:
* ΔH_f (0 K): -0.328 eV per atom
* space group: P4/mmm, No. 123
* E_tot: -4.041 eV per atom